Nb5Fe4P4 | PBE-GGA | optimized geometry

Computed properties:
- space group = I4/m (87)
- M_tot (μB/atom) = 0.158
- calculated density (kg/m³) = 7787
- crystal system = tetragonal

The structure in POSCAR format:
```
Nb5Fe4P4
1.0
-0.945 5.153 4.967
-2.556 -5.017 -4.519
2.214 -4.871 4.847
Fe Nb P
4 5 4
Direct
0.925 0.397 0.322 Fe
0.397 0.075 0.472 Fe
0.603 0.925 0.528 Fe
0.075 0.603 0.678 Fe
0.500 0.500 0.000 Nb
0.199 0.871 0.070 Nb
0.129 0.199 0.329 Nb
0.871 0.801 0.671 Nb
0.801 0.129 0.930 Nb
0.443 0.761 0.204 P
0.761 0.557 0.318 P
0.239 0.443 0.682 P
0.557 0.239 0.796 P
```



NbFeP | PBE-GGA | optimized geometry

Computed properties:
- space group = P-62m (189)
- M_tot (μB/atom) = 0.146
- calculated density (kg/m³) = 7754
- crystal system = hexagonal

The structure in POSCAR format:
```
NbFeP
1.0
6.073 0.000 0.000
-3.036 5.259 0.000
0.000 0.000 3.615
Fe Nb P
3 3 3
Direct
0.247 0.000 0.000 Fe
0.000 0.247 0.000 Fe
0.753 0.753 0.000 Fe
0.587 0.000 0.500 Nb
0.413 0.413 0.500 Nb
0.000 0.587 0.500 Nb
0.667 0.333 0.000 P
0.333 0.667 0.000 P
0.000 0.000 0.500 P
```



Nb4FeP | PBE-GGA | optimized geometry

Computed properties:
- space group = P4/mcc (124)
- M_tot (μB/atom) = 0.001
- calculated density (kg/m³) = 8007
- crystal system = tetragonal

The structure in POSCAR format:
```
Nb4FeP
1.0
-1.210 -5.923 0.860
5.944 -1.087 0.882
-0.587 0.845 4.995
Fe Nb P
2 8 2
Direct
0.000 0.000 0.250 Fe
0.000 0.000 0.750 Fe
0.333 0.158 0.000 Nb
0.842 0.333 0.000 Nb
0.158 0.667 0.000 Nb
0.667 0.842 0.000 Nb
0.667 0.158 0.500 Nb
0.158 0.333 0.500 Nb
0.842 0.667 0.500 Nb
0.333 0.842 0.500 Nb
0.500 0.500 0.250 P
0.500 0.500 0.750 P
```



NbFeP | PBE-GGA | optimized geometry

Computed properties:
- space group = P-62m (189)
- M_tot (μB/atom) = 0.001
- calculated density (kg/m³) = 7475
- crystal system = hexagonal

The structure in POSCAR format:
```
NbFeP
1.0
-2.988 3.021 -4.521
3.342 -5.056 -1.329
-2.896 -2.057 0.540
Fe Nb P
3 3 3
Direct
0.667 0.333 0.000 Fe
0.333 0.667 0.000 Fe
0.000 0.000 0.500 Fe
0.608 0.000 0.500 Nb
0.392 0.392 0.500 Nb
0.000 0.608 0.500 Nb
0.281 0.000 0.000 P
0.000 0.281 0.000 P
0.719 0.719 0.000 P
```



NbFeP | PBE-GGA | optimized geometry

Computed properties:
- space group = P6_3mc (186)
- M_tot (μB/atom) = 0.002
- calculated density (kg/m³) = 7396
- crystal system = hexagonal

The structure in POSCAR format:
```
NbFeP
1.0
-3.420 -0.572 -1.848
3.249 -1.802 -1.279
-1.173 -4.685 3.621
Fe Nb P
2 2 2
Direct
0.333 0.667 0.069 Fe
0.667 0.333 0.569 Fe
0.000 0.000 0.219 Nb
0.000 0.000 0.719 Nb
0.333 0.667 0.462 P
0.667 0.333 0.962 P
```



NbFeP | PBE-GGA | optimized geometry

Computed properties:
- space group = Pnma (62)
- M_tot (μB/atom) = 0.002
- calculated density (kg/m³) = 7786
- crystal system = orthorhombic

The structure in POSCAR format:
```
NbFeP
1.0
-1.279 -2.732 -1.948
0.708 -3.759 4.806
-6.448 1.502 2.125
Fe Nb P
4 4 4
Direct
0.750 0.859 0.062 Fe
0.750 0.359 0.438 Fe
0.250 0.641 0.562 Fe
0.250 0.141 0.938 Fe
0.250 0.522 0.176 Nb
0.250 0.022 0.324 Nb
0.750 0.978 0.676 Nb
0.750 0.478 0.824 Nb
0.750 0.221 0.119 P
0.750 0.721 0.381 P
0.250 0.279 0.619 P
0.250 0.779 0.881 P
```



Number 1: DFT total energy -8.885 eV per atom. Number 2: DFT total energy -8.720 eV per atom. Number 3: DFT total energy -9.400 eV per atom. Number 4: DFT total energy -8.432 eV per atom. Number 5: DFT total energy -8.544 eV per atom. Number 6: DFT total energy -8.822 eV per atom.